# 1
First-principles (PBE-GGA) data for a relaxed structure of Ac2YErO6, as listed in Alexandria.

a = 6.024 Å, b = 6.191 Å, c = 8.647 Å
α = 90.00°, β = 90.05°, γ = 90.00°
Sites, in units of the cell vectors:
1 O 0.802 0.798 0.938
2 O 0.302 0.702 0.438
3 O 0.615 0.049 0.252
4 O 0.201 0.199 0.438
5 O 0.385 0.951 0.748
6 O 0.885 0.549 0.248
7 O 0.115 0.451 0.752
8 O 0.698 0.298 0.562
9 O 0.701 0.301 0.938
10 O 0.799 0.801 0.562
11 O 0.299 0.699 0.062
12 O 0.198 0.202 0.062
13 Ac 0.014 0.953 0.250
14 Ac 0.986 0.047 0.750
15 Ac 0.486 0.453 0.250
16 Ac 0.514 0.547 0.750
17 Y 0.500 0.000 0.000
18 Y 0.000 0.500 0.500
19 Er 0.000 0.500 0.000
20 Er 0.500 0.000 0.500

crystal system	monoclinic
energy	-8.362	eV per atom
formation energy without anion corrections	-3.46	eV/atom
total moment	0.00	μB per atom
symmetry	P2_1/c

---

# 2
First-principles (PBE-GGA) data for a relaxed structure of Pm4Sm6Ho, as listed in Alexandria.

a = 7.614 Å, b = 7.614 Å, c = 8.649 Å
α = 116.11°, β = 116.11°, γ = 90.00°
Sites, in units of the cell vectors:
1 Sm 0.914 0.459 0.374
2 Sm 0.000 0.500 0.000
3 Sm 0.500 0.000 0.000
4 Sm 0.541 0.541 0.626
5 Sm 0.459 0.914 0.374
6 Sm 0.086 0.086 0.626
7 Pm 0.251 0.251 0.158
8 Pm 0.093 0.749 0.842
9 Pm 0.749 0.093 0.842
10 Pm 0.907 0.907 0.158
11 Ho 0.500 0.500 0.000

crystal system	tetragonal
energy	-4.330	eV per atom
ΔE to the lowest computed polymorph	101	meV/atom
total moment	0.00	μB per atom
symmetry	I-42m
formation energy	0.3873	eV/atom

---

# 3
First-principles (PBE-GGA) data for a relaxed structure of NaTl2CdNi, as listed in Alexandria.

a = 5.082 Å, b = 5.082 Å, c = 5.123 Å
α = 90.00°, β = 90.00°, γ = 90.00°
Sites, in units of the cell vectors:
1 Na 0.500 0.500 0.500
2 Ni 0.000 0.000 0.000
3 Cd 0.000 0.000 0.500
4 Tl 0.500 0.000 0.000
5 Tl 0.000 0.500 0.000

crystal system	tetragonal
energy	-2.521	eV per atom
total moment	0.00	μB per atom
symmetry	P4/mmm
formation energy	0.0284	eV/atom

---

# 4
First-principles (PBE-GGA) data for a relaxed structure of Ca2SnPd, as listed in Alexandria.

a = 4.176 Å, b = 4.872 Å, c = 4.872 Å
α = 90.00°, β = 90.00°, γ = 90.00°
Sites, in units of the cell vectors:
1 Ca 0.000 0.500 0.000
2 Ca 0.000 0.000 0.500
3 Pd 0.500 0.000 0.000
4 Sn 0.500 0.500 0.500

crystal system	tetragonal
energy	-3.877	eV per atom
total moment	0.00	μB per atom
symmetry	P4/mmm
formation energy	-0.5770	eV/atom

---

# 5
First-principles (PBE-GGA) data for a relaxed structure of Pr2Zn3CuNi12, as listed in Alexandria.

a = 9.293 Å, b = 9.293 Å, c = 9.293 Å
α = 37.90°, β = 37.90°, γ = 37.90°
Sites, in units of the cell vectors:
1 Ni 0.578 0.578 0.188
2 Ni 0.422 0.422 0.812
3 Ni 0.422 0.812 0.422
4 Ni 0.934 0.346 0.934
5 Ni 0.066 0.654 0.066
6 Ni 0.578 0.188 0.578
7 Ni 0.346 0.934 0.934
8 Ni 0.934 0.934 0.346
9 Ni 0.654 0.066 0.066
10 Ni 0.812 0.422 0.422
11 Ni 0.066 0.066 0.654
12 Ni 0.188 0.578 0.578
13 Zn 0.000 0.000 0.500
14 Zn 0.500 0.000 0.000
15 Zn 0.000 0.500 0.000
16 Pr 0.344 0.344 0.344
17 Pr 0.656 0.656 0.656
18 Cu 0.000 0.000 0.000

crystal system	trigonal
energy	-4.691	eV per atom
total moment	0.00	μB per atom
symmetry	R-3m
formation energy	0.1342	eV/atom

---

# 6
First-principles (PBE-GGA) data for a relaxed structure of TiReBi2Cl, as listed in Alexandria.

a = 5.473 Å, b = 4.321 Å, c = 5.473 Å
α = 90.00°, β = 90.00°, γ = 90.00°
Last column: magnetic moment on the atom in μB.
Sites, in units of the cell vectors:
1 Re 0.500 0.500 0.500  3.28
2 Ti 0.000 0.000 0.000  0.38
3 Cl 0.000 0.500 0.000  -0.02
4 Bi 0.000 0.000 0.500  -0.15
5 Bi 0.500 0.000 0.000  -0.17

crystal system	tetragonal
energy	-5.093	eV per atom
formation energy without anion corrections	0.90	eV/atom
total moment	0.81	μB per atom
symmetry	P4/mmm

---

# 7
First-principles (PBE-GGA) data for a relaxed structure of Be2CrAg, as listed in Alexandria.

a = 6.336 Å, b = 6.336 Å, c = 5.184 Å
α = 52.32°, β = 52.32°, γ = 90.00°
Last column: magnetic moment on the atom in μB.
Sites, in units of the cell vectors:
1 Be 0.375 0.373 0.750  -0.03
2 Be 0.123 0.625 0.250  -0.03
3 Be 0.875 0.877 0.750  -0.03
4 Be 0.627 0.125 0.250  -0.03
5 Cr 0.500 0.500 0.000  2.77
6 Cr 0.250 0.750 0.500  2.77
7 Ag 0.750 0.250 0.500  0.06
8 Ag 0.000 0.000 0.000  0.06

crystal system	tetragonal
energy	-4.294	eV per atom
ΔE to the lowest computed polymorph	477	meV/atom
total moment	0.73	μB per atom
symmetry	I-42d
formation energy	0.6878	eV/atom

---

# 8
First-principles (PBE-GGA) data for a relaxed structure of Sr2LaHf, as listed in Alexandria.

a = 5.953 Å, b = 5.953 Å, c = 5.953 Å
α = 60.00°, β = 60.00°, γ = 60.00°
Sites, in units of the cell vectors:
1 Hf 0.500 0.500 0.500
2 La 0.000 0.000 0.000
3 Sr 0.250 0.250 0.250
4 Sr 0.750 0.750 0.750

crystal system	cubic
energy	-3.920	eV per atom
ΔE to the lowest computed polymorph	0	meV/atom
total moment	0.00	μB per atom
symmetry	Fm-3m
formation energy	0.6416	eV/atom